(1)
Mg5Cd12Ag2 GGA-PBE relaxed; DFT formation energy = -46 meV/atom; space-group type = C2/m (12); V = 418.6 Å³ per cell
1.0
-1.375 -6.453 3.266
6.934 -2.884 -2.363
5.808 1.175 5.183
Cd Mg Ag
12 5 2
direct
0.679 0.556 0.556
0.340 0.411 0.834
0.755 0.333 0.969
0.321 0.444 0.444
0.245 0.031 0.667
0.340 0.834 0.411
0.110 0.093 0.093
0.660 0.589 0.166
0.890 0.907 0.907
0.755 0.969 0.333
0.245 0.667 0.031
0.660 0.166 0.589
0.014 0.687 0.687
0.567 0.766 0.766
0.500 0.000 0.000
0.433 0.234 0.234
0.986 0.313 0.313
0.000 0.315 0.685
0.000 0.685 0.315

=====

(2)
MgCd4Ag7 GGA-PBE relaxed; DFT formation energy = 44 meV/atom; space-group type = C2/m (12); V = 247.5 Å³ per cell
1.0
-4.943 -0.256 -1.256
-0.181 -3.096 -9.042
-2.646 -5.105 1.071
Cd Ag Mg
4 7 1
direct
0.269 0.311 0.151
0.404 0.774 0.418
0.731 0.689 0.849
0.596 0.226 0.582
0.794 0.919 0.492
0.206 0.081 0.508
0.500 0.000 0.000
0.649 0.470 0.232
0.043 0.626 0.288
0.351 0.530 0.768
0.957 0.374 0.712
0.000 0.000 0.000

=====

(3)
Mg4CdAg GGA-PBE relaxed; DFT formation energy = 4 meV/atom; space-group type = C2/m (12); V = 146.7 Å³ per cell; energy relative to the lowest polymorph listed for this composition = 59 kJ/mol of formula units
1.0
4.724 -0.002 0.001
-0.002 4.724 0.001
0.007 0.010 6.575
Mg Ag Cd
4 1 1
direct
0.001 0.498 0.258
0.002 0.497 0.738
0.501 0.997 0.258
0.501 0.997 0.738
0.001 0.997 0.498
0.501 0.497 0.998

=====

(4)
Mg3Cd12Ag GGA-PBE relaxed; DFT formation energy = -47 meV/atom; space-group type = P4/mmm (123); V = 347.1 Å³ per cell
1.0
4.420 0.000 0.000
0.000 4.420 0.000
0.000 0.000 17.765
Cd Mg Ag
12 3 1
direct
0.500 0.500 0.000
0.500 0.500 0.753
0.000 0.500 0.878
0.500 0.000 0.878
0.000 0.500 0.122
0.500 0.500 0.247
0.000 0.500 0.626
0.500 0.000 0.122
0.000 0.500 0.374
0.500 0.000 0.626
0.500 0.000 0.374
0.500 0.500 0.500
0.000 0.000 0.248
0.000 0.000 0.500
0.000 0.000 0.752
0.000 0.000 0.000

=====

(5)
Mg2Cd6Ag GGA-PBE relaxed; DFT formation energy = 0 meV/atom; space-group type = C2/m (12); V = 208.4 Å³ per cell; energy relative to the lowest polymorph listed for this composition = 49 kJ/mol of formula units
1.0
4.340 0.000 0.519
0.000 6.840 0.000
-0.805 -3.420 6.925
Mg Cd Ag
2 6 1
direct
0.500 0.780 0.561
0.500 0.220 0.439
0.001 0.564 0.704
0.500 0.281 0.000
0.999 0.436 0.296
0.500 0.719 0.000
0.999 0.860 0.296
0.001 0.140 0.704
0.000 0.000 0.000

=====

(6)
Mg12Cd6Ag GGA-PBE relaxed; DFT formation energy = -62 meV/atom; space-group type = R-3 (148); V = 418.5 Å³ per cell
1.0
7.455 0.576 -0.314
-0.351 7.469 -0.314
0.509 0.576 7.444
Cd Mg Ag
6 12 1
direct
0.886 0.723 0.268
0.732 0.114 0.277
0.268 0.886 0.723
0.277 0.732 0.114
0.114 0.277 0.732
0.723 0.268 0.886
0.565 0.472 0.200
0.435 0.528 0.800
0.365 0.150 0.034
0.850 0.966 0.635
0.800 0.435 0.528
0.528 0.800 0.435
0.472 0.200 0.565
0.966 0.635 0.850
0.200 0.565 0.472
0.635 0.850 0.966
0.034 0.365 0.150
0.150 0.034 0.365
0.000 0.000 0.000

=====

(7)
Mg4Cd2Ag5 GGA-PBE relaxed; DFT formation energy = -63 meV/atom; space-group type = P-1 (2); V = 232.7 Å³ per cell
1.0
-1.097 4.142 -0.395
-6.805 -1.809 -0.224
0.190 -1.438 7.840
Ag Mg Cd
5 4 2
direct
0.799 0.447 0.600
0.883 0.091 0.768
0.117 0.909 0.232
0.201 0.553 0.400
0.500 0.000 0.000
0.944 0.716 0.884
0.257 0.160 0.519
0.743 0.840 0.481
0.056 0.284 0.116
0.580 0.611 0.158
0.420 0.389 0.842

=====

(8)
Mg4Cd3Ag4 GGA-PBE relaxed; DFT formation energy = -152 meV/atom; space-group type = P-1 (2); V = 214.2 Å³ per cell; energy relative to the lowest polymorph listed for this composition = 0 kJ/mol of formula units
1.0
-2.458 -0.547 -2.247
2.400 0.140 -2.658
2.667 -17.247 3.887
Mg Ag Cd
4 4 3
direct
0.549 0.551 0.100
0.451 0.449 0.900
0.188 0.190 0.377
0.812 0.810 0.623
0.908 0.907 0.815
0.728 0.728 0.456
0.272 0.272 0.544
0.092 0.093 0.185
0.638 0.640 0.277
0.000 0.000 0.000
0.362 0.360 0.723

=====

Repeat the second record exactly.
MgCd4Ag7 GGA-PBE relaxed; DFT formation energy = 44 meV/atom; space-group type = C2/m (12); V = 247.5 Å³ per cell
1.0
-4.943 -0.256 -1.256
-0.181 -3.096 -9.042
-2.646 -5.105 1.071
Cd Ag Mg
4 7 1
direct
0.269 0.311 0.151
0.404 0.774 0.418
0.731 0.689 0.849
0.596 0.226 0.582
0.794 0.919 0.492
0.206 0.081 0.508
0.500 0.000 0.000
0.649 0.470 0.232
0.043 0.626 0.288
0.351 0.530 0.768
0.957 0.374 0.712
0.000 0.000 0.000